Computed, not measured: crystalline YSbS2 at its relaxed geometry at the PBE level of DFT.

magnetic moment: 0.00 μB per formula unit
E: -5.121 eV per atom
volume: 28.554 Å³ per atom
D(E_F): 1.1 states/eV/cell
SG: R-3m
formation energy (no corrections): -0.410 eV/atom

POSCAR file:
```
YSbS2
1.0
-5.813 2.474 5.994
-2.778 4.944 6.609
-5.405 5.710 3.745
S Sb Y
2 1 1
Direct
0.106 0.106 0.106 S
0.894 0.894 0.894 S
0.500 0.500 0.500 Sb
0.000 0.000 0.000 Y
```